Entry from Alexandria: crystalline Ce4RuPb2 at its relaxed geometry (PBE-GGA).

Cell lengths 3.628, 9.428, 6.563 Å; angles 110.31, 90.00, 90.00 degrees
Each line ends with the local moment (μB).
Fractional coordinates of all 7 atoms:
Ce 0.000 0.732 0.902  0.96
Ce 0.500 0.072 0.358  0.19
Ce 0.000 0.411 0.241  0.96
Pb 0.500 0.735 0.404  -0.03
Pb 0.500 0.407 0.739  -0.03
Ru 0.000 0.071 0.071  -0.06
Ce 0.500 0.071 0.785  0.19

Properties
formation enthalpy at 0 K	-193	meV per atom
E above lowest polymorph	119	meV per atom
calculated volume	30.073	Å³ per atom
calculated total energy	-0.2193	Ha/atom
magnetization	2.79	μB/f.u.